# 1
{"formula": "LaS2O", "functional": "PBE", "state": "relaxed", "lattice_angstrom": [[1.723, 0.995, 8.045], [-1.723, 0.995, 8.045], [0.000, -1.989, 8.045]], "species": ["La", "S", "S", "O"], "fractional_positions": [[0.000, 0.000, 0.000], [0.113, 0.113, 0.113], [0.887, 0.887, 0.887], [0.500, 0.500, 0.500]], "formation_energy_uncorrected_ev_per_atom": 0.65, "total_magnetization_mub_per_cell": 0.00, "rho_g_cm3": 4.4, "total_energy_ev_per_atom": -3.8843, "space_group": "R-3m, No. 166"}

***

# 2
{"formula": "SrHg2Rh", "functional": "PBE", "state": "relaxed", "lattice_angstrom": [[16.434, 0.000, 0.000], [0.000, 8.019, 0.000], [0.000, 0.000, 5.858]], "species": ["Sr", "Sr", "Sr", "Sr", "Sr", "Sr", "Sr", "Sr", "Hg", "Hg", "Hg", "Hg", "Hg", "Hg", "Hg", "Hg", "Hg", "Hg", "Hg", "Hg", "Hg", "Hg", "Hg", "Hg", "Rh", "Rh", "Rh", "Rh", "Rh", "Rh", "Rh", "Rh"], "fractional_positions": [[0.105, 0.250, 0.244], [0.140, 0.750, 0.467], [0.360, 0.250, 0.967], [0.395, 0.750, 0.744], [0.605, 0.250, 0.256], [0.640, 0.750, 0.033], [0.860, 0.250, 0.533], [0.895, 0.750, 0.756], [0.037, 0.055, 0.748], [0.037, 0.445, 0.748], [0.212, 0.550, 0.965], [0.212, 0.950, 0.965], [0.288, 0.050, 0.465], [0.288, 0.450, 0.465], [0.463, 0.555, 0.248], [0.463, 0.945, 0.248], [0.537, 0.055, 0.752], [0.537, 0.445, 0.752], [0.712, 0.550, 0.535], [0.712, 0.950, 0.535], [0.788, 0.050, 0.035], [0.788, 0.450, 0.035], [0.963, 0.555, 0.252], [0.963, 0.945, 0.252], [0.070, 0.750, 0.979], [0.184, 0.250, 0.727], [0.316, 0.750, 0.227], [0.430, 0.250, 0.479], [0.570, 0.750, 0.521], [0.684, 0.250, 0.773], [0.816, 0.750, 0.273], [0.930, 0.250, 0.021]], "total_magnetization_mub_per_cell": 0.00, "formation_enthalpy_0k_ev_per_fu": -1.3, "rho_g_cm3": 10.2, "total_energy_ev_per_atom": -2.7433, "space_group": "Pnma, No. 62"}

***

# 3
{"formula": "NaSrSe", "functional": "PBE", "state": "relaxed", "lattice_angstrom": [[4.410, 0.000, 0.000], [0.000, 4.410, 0.000], [0.000, 0.000, 10.830]], "species": ["Na", "Na", "Sr", "Sr", "Se", "Se"], "fractional_positions": [[0.250, 0.250, 0.083], [0.750, 0.750, 0.917], [0.250, 0.250, 0.645], [0.750, 0.750, 0.355], [0.250, 0.250, 0.357], [0.750, 0.750, 0.643]], "formation_energy_uncorrected_ev_per_atom": -1.28, "total_magnetization_mub_per_cell": 0.00, "rho_g_cm3": 3.0, "total_energy_ev_per_atom": -3.4379, "space_group": "P4/nmm, No. 129", "relative_energy_kcal_per_mol_atoms": 0.00}